# 1
# YNiSn

A crystal of YNiSn relaxed with PBEsol (meta-GGA SCAN, the Alexandria database).

Unit cell a=7.0503 b=4.4067 c=7.5806 alpha=90.00 beta=90.00 gamma=90.00
With the nearest neighbours (Å) after each atom.
Space group Pnma (No. 62)
One atom of each set of equivalent atoms:
1 Y 0.0134 0.2500 0.1994 x4  6 Ni 2.96-3.31, 6 Sn 3.08-3.17
2 Ni 0.2014 0.7500 0.4131 x4  4 Sn 2.57-2.73
3 Sn 0.1863 0.2500 0.5858 x4  4 Ni 2.57-2.73

Summary:
Energy relative to the elements, kJ/mol of atoms: -75
Total moment, μB per formula unit: 0.0

---

# 2
# Zr6NiSn2

A crystal of Zr6NiSn2 relaxed with PBEsol (meta-GGA SCAN, the Alexandria database).

Unit cell a=7.8529 b=7.8529 c=3.5141 alpha=90.00 beta=90.00 gamma=120.00
With the nearest neighbours (Å) after each atom.
Space group P-62m (No. 189)
One atom of each set of equivalent atoms:
1 Zr 0.0000 0.3980 0.0000 x3  4 Sn 2.98, 1 Ni 3.13, 6 Zr 3.25-3.31
2 Zr 0.0000 0.7557 0.5000 x3  2 Ni 2.60
3 Ni 0.0000 0.0000 0.0000 x1  6 Zr 2.60
4 Sn 0.3333 0.6667 0.5000 x2  9 Zr 2.98-3.03

Summary:
Energy relative to the elements, kJ/mol of atoms: -51
Total moment, μB per formula unit: 0.0

---

# 3
# ZrNi4Sn

A crystal of ZrNi4Sn relaxed with PBEsol (meta-GGA SCAN, the Alexandria database).

Unit cell a=6.8312 b=6.8312 c=6.8312 alpha=90.00 beta=90.00 gamma=90.00
With the nearest neighbours (Å) after each atom.
Space group F-43m (No. 216)
One atom of each set of equivalent atoms:
1 Zr 0.0000 0.0000 0.0000 x4  12 Ni 2.83, 4 Sn 2.96
2 Ni 0.1253 0.1253 0.3747 x16  6 Ni 2.41-2.42
3 Sn 0.2500 0.2500 0.7500 x4  12 Ni 2.83, 4 Zr 2.96

Summary:
Energy relative to the elements, kJ/mol of atoms: -37
Total moment, μB per formula unit: 0.6

---

# 4
# ZrNiSn2

A crystal of ZrNiSn2 relaxed with PBEsol (meta-GGA SCAN, the Alexandria database).

Unit cell a=6.7344 b=6.7344 c=6.7344 alpha=90.00 beta=90.00 gamma=90.00
With the nearest neighbours (Å) after each atom.
Space group Fm-3m (No. 225)
One atom of each set of equivalent atoms:
1 Zr 0.0000 0.0000 0.0000 x4  8 Sn 2.92
2 Ni 0.0000 0.0000 0.5000 x4  8 Sn 2.92
3 Sn 0.2500 0.2500 0.2500 x8  4 Zr 2.92, 4 Ni 2.92

Summary:
Energy relative to the elements, kJ/mol of atoms: 7
Total moment, μB per formula unit: 0.7

---

# 5
# SrNi3

A crystal of SrNi3 relaxed with PBEsol (meta-GGA SCAN, the Alexandria database).

Unit cell a=4.0037 b=6.4986 c=5.4007 alpha=90.00 beta=90.00 gamma=90.00
With the nearest neighbours (Å) after each atom.
Space group Pmmn (No. 59, origin choice 2)
One atom of each set of equivalent atoms:
1 Sr 0.2500 0.2500 0.1087 x2  4 Ni 2.87-3.04
2 Ni 0.2500 0.0654 0.5911 x4  6 Ni 2.31-2.40
3 Ni 0.2500 0.7500 0.3923 x2  6 Ni 2.31-2.34

Summary:
Energy relative to the elements, kJ/mol of atoms: 2
Total moment, μB per formula unit: 0.0

---

# 6
# SrNi

A crystal of SrNi relaxed with PBEsol (meta-GGA SCAN, the Alexandria database).

Unit cell a=4.0346 b=4.1664 c=13.7385 alpha=90.00 beta=90.00 gamma=90.00
With the nearest neighbours (Å) after each atom.
Space group Imma (No. 74)
One atom of each set of equivalent atoms:
1 Sr 0.0000 0.2500 0.1303 x4  6 Ni 2.95-3.14
2 Ni 0.0000 0.2500 0.7173 x4  2 Ni 2.21

Summary:
Energy relative to the elements, kJ/mol of atoms: 11
Total moment, μB per formula unit: 0.0

---

# 7
# SrNi3

A crystal of SrNi3 relaxed with PBEsol (meta-GGA SCAN, the Alexandria database).

Unit cell a=3.9039 b=3.9039 c=3.9039 alpha=90.00 beta=90.00 gamma=90.00
With the nearest neighbours (Å) after each atom.
Space group Pm-3m (No. 221)
One atom of each set of equivalent atoms:
1 Sr 0.0000 0.0000 0.0000 x1  12 Ni 2.76
2 Ni 0.0000 0.5000 0.5000 x3  8 Ni 2.76, 4 Sr 2.76

Summary:
Energy relative to the elements, kJ/mol of atoms: 56
Total moment, μB per formula unit: 1.2

---

# 8
# SrNi2

A crystal of SrNi2 relaxed with PBEsol (meta-GGA SCAN, the Alexandria database).

Unit cell a=3.2516 b=3.2516 c=10.0548 alpha=90.00 beta=90.00 gamma=90.00
With the nearest neighbours (Å) after each atom.
Space group I4/mmm (No. 139)
One atom of each set of equivalent atoms:
1 Sr 0.0000 0.0000 0.0000 x2  2 Ni 2.81
2 Ni 0.0000 0.0000 0.2800 x4  4 Ni 2.38

Summary:
Energy relative to the elements, kJ/mol of atoms: 33
Total moment, μB per formula unit: 0.0

---

# 9
# SrNi

A crystal of SrNi relaxed with PBEsol (meta-GGA SCAN, the Alexandria database).

Unit cell a=3.9798 b=3.9798 c=3.7176 alpha=90.00 beta=90.00 gamma=120.00
With the nearest neighbours (Å) after each atom.
Space group P-6m2 (No. 187)
One atom of each set of equivalent atoms:
1 Sr 0.0000 0.0000 0.0000 x1  6 Ni 2.96
2 Ni 0.6667 0.3333 0.5000 x1  6 Sr 2.96

Summary:
Energy relative to the elements, kJ/mol of atoms: 53
Total moment, μB per formula unit: 0.1

---

# 10
# SrNi

A crystal of SrNi relaxed with PBEsol (meta-GGA SCAN, the Alexandria database).

Unit cell a=4.0276 b=4.0276 c=23.3200 alpha=90.00 beta=90.00 gamma=120.00
With the nearest neighbours (Å) after each atom.
Space group R-3m (No. 166, hexagonal axes)
One atom of each set of equivalent atoms:
1 Sr 0.0000 0.0000 0.0853 x6  6 Ni 3.06
2 Ni 0.0000 0.0000 0.3330 x6  3 Ni 2.33

Summary:
Energy relative to the elements, kJ/mol of atoms: -4
Total moment, μB per formula unit: 0.2

---

# 11
# SrTa2Ni

A crystal of SrTa2Ni relaxed with PBEsol (meta-GGA SCAN, the Alexandria database).

Unit cell a=2.9772 b=5.0419 c=5.1620 alpha=90.00 beta=99.63 gamma=90.00
With the nearest neighbours (Å) after each atom.
Space group P2/m (No. 10)
One atom of each set of equivalent atoms:
1 Sr 0.0000 0.0000 0.0000 x1  2 Ni 2.76, 2 Sr 2.98
2 Ta 0.2955 0.5000 0.7201 x2  3 Ta 2.63-2.94, 2 Ni 2.87
3 Ni 0.5000 0.0000 0.5000 x1  2 Sr 2.76, 4 Ta 2.87, 2 Ni 2.98

Summary:
Energy relative to the elements, kJ/mol of atoms: 81
Total moment, μB per formula unit: 0.0
Polymorph energy (0 for the lowest one), eV/f.u.: 1.33

---

# 12
# Sr2TaNi

A crystal of Sr2TaNi relaxed with PBEsol (meta-GGA SCAN, the Alexandria database).

Unit cell a=4.2523 b=4.2523 c=10.0472 alpha=90.00 beta=90.00 gamma=90.00
With the nearest neighbours (Å) after each atom.
Space group I4/mmm (No. 139)
One atom of each set of equivalent atoms:
1 Sr 0.0000 0.5000 0.2500 x4  4 Sr 3.01, 4 Ta 3.29, 4 Ni 3.29
2 Ta 0.0000 0.0000 0.0000 x2  4 Ni 3.01, 8 Sr 3.29
3 Ni 0.0000 0.0000 0.5000 x2  4 Ta 3.01, 8 Sr 3.29

Summary:
Energy relative to the elements, kJ/mol of atoms: 115
Total moment, μB per formula unit: 1.2
Polymorph energy (0 for the lowest one), eV/f.u.: 0.26